{
  "formula": "Pr2AlNO3",
  "functional": "SCAN",
  "state": "single point on PBEsol structure",
  "sg": "No. 107",
  "raw_formation_energy_kj_per_mol_atoms": -295,
  "lattice_angstrom": [[-1.8594, 1.8594, 6.2714], [1.8594, -1.8594, 6.2714], [1.8594, 1.8594, -6.2714]],
  "species": ["Pr", "Pr", "Al", "N", "O", "O", "O"],
  "fractional_positions": [[0.0000, 0.0000, 0.0000], [0.2878, 0.2878, 0.0000], [0.6499, 0.6499, 0.0000], [0.8108, 0.8108, 0.0000], [0.1381, 0.6381, 0.5000], [0.4792, 0.4792, 0.0000], [0.6381, 0.1381, 0.5000]]
}